5
Lattice="3.915 0.000 0.000 0.000 3.795 0.000 0.000 0.000 3.915" Properties=species:S:1:pos:R:3 comment="MgMnO2F | the Alexandria database | PBE with a Hubbard U | optimized geometry" sg=P4/mmm magmom_total_mub_per_fu=4.00 dft_energy_ev_per_atom=-5.830 pbc="T T T"
F 0.000 1.898 0.000
O 0.000 0.000 1.957
O 1.957 0.000 0.000
Mg 0.000 0.000 0.000
Mn 1.957 1.898 1.957